Tb12NdEr5: relaxed, PBE.

Output
Symmetry   No. 12
Crystal system   monoclinic
E_form   0.0944 eV/atom

```
Tb12NdEr5
1.0
5.9618 -8.4187 0.0000
5.9618 8.4187 0.0000
-0.0005 0.0000 5.6889
Tb Nd Er
12 1 5
direct
0.0283 0.6695 0.5008
0.1691 0.5292 0.9992
0.1969 0.1969 0.0085
0.2979 0.2979 0.5087
0.3305 0.9717 0.4992
0.4708 0.8309 0.0008
0.5292 0.1691 0.9992
0.6695 0.0283 0.5008
0.7021 0.7021 0.4913
0.8031 0.8031 0.9915
0.8309 0.4708 0.0008
0.9717 0.3305 0.4992
0.5000 0.5000 0.0000
0.0000 0.0000 0.5000
0.1375 0.8625 0.0000
0.3612 0.6388 0.5000
0.6388 0.3612 0.5000
0.8625 0.1375 0.0000
```

Tb6NdEr3: relaxed, PBE.

Output
Symmetry   No. 36
Crystal system   orthorhombic
E_form   0.1249 eV/atom
Energy above the lowest structure with this stoichiometry   0 meV/atom

```
Tb6NdEr3
1.0
4.8182 -10.4837 0.0000
4.8182 10.4837 0.0000
0.0000 0.0000 6.3834
Tb Nd Er
12 2 6
direct
0.0152 0.9848 0.5000
0.1059 0.5431 0.9788
0.2618 0.3791 0.7348
0.3016 0.6984 0.5177
0.3791 0.2618 0.2348
0.4569 0.8941 0.9788
0.5431 0.1059 0.4788
0.6209 0.7382 0.7348
0.6984 0.3016 0.0177
0.7382 0.6209 0.2348
0.8941 0.4569 0.4788
0.9848 0.0152 0.0000
0.1613 0.8387 0.3004
0.8387 0.1613 0.8004
0.0433 0.2961 0.3236
0.2961 0.0433 0.8236
0.4183 0.5817 0.2107
0.5817 0.4183 0.7107
0.7039 0.9567 0.3236
0.9567 0.7039 0.8236
```

Tb3Nd4Er: relaxed, PBE.

Output
Symmetry   No. 12
Crystal system   monoclinic
E_form   0.1618 eV/atom
Energy above the lowest structure with this stoichiometry   134 meV/atom

```
Tb3Nd4Er
1.0
23.6075 0.0000 0.0000
0.0000 3.5051 0.0000
-1.9674 0.0000 6.5566
Tb Nd Er
6 8 2
direct
0.0000 0.0000 0.0000
0.1222 0.0000 0.3815
0.3778 0.5000 0.6185
0.5000 0.5000 0.0000
0.6222 0.5000 0.3815
0.8778 0.0000 0.6185
0.1234 0.0000 0.8669
0.2407 0.5000 0.7358
0.2593 0.0000 0.2642
0.3766 0.5000 0.1331
0.6234 0.5000 0.8669
0.7407 0.0000 0.7358
0.7593 0.5000 0.2642
0.8766 0.0000 0.1331
0.0000 0.5000 0.5000
0.5000 0.0000 0.5000
```

Tb7NdEr2: relaxed, PBE.

Output
Symmetry   No. 12
Crystal system   monoclinic
E_form   0.0440 eV/atom
Energy above the lowest structure with this stoichiometry   0 meV/atom

```
Tb7NdEr2
1.0
9.0760 -2.7271 0.0000
9.0760 2.7271 0.0000
-2.7166 0.0000 6.4830
Tb Nd Er
7 1 2
direct
0.0000 0.0000 0.0000
0.2002 0.2002 0.7002
0.3899 0.3899 0.1377
0.3900 0.3900 0.6415
0.6100 0.6100 0.3585
0.6101 0.6101 0.8623
0.7998 0.7998 0.2998
0.0000 0.0000 0.5000
0.1993 0.1993 0.1995
0.8007 0.8007 0.8005
```

Tb7Nd6Er16: relaxed, PBE.

Output
Symmetry   No. 225
Crystal system   cubic
E_form   0.2405 eV/atom

```
Tb7Nd6Er16
1.0
0.0000 7.8798 7.8798
7.8798 0.0000 7.8798
7.8798 7.8798 0.0000
Tb Nd Er
7 6 16
direct
0.0000 0.0000 0.0000
0.0000 0.0000 0.5000
0.0000 0.5000 0.0000
0.0000 0.5000 0.5000
0.5000 0.0000 0.0000
0.5000 0.0000 0.5000
0.5000 0.5000 0.0000
0.2692 0.2692 0.7308
0.2692 0.7308 0.2692
0.2692 0.7308 0.7308
0.7308 0.2692 0.2692
0.7308 0.2692 0.7308
0.7308 0.7308 0.2692
0.0489 0.6504 0.6504
0.1278 0.1278 0.1278
0.1278 0.1278 0.6167
0.1278 0.6167 0.1278
0.3496 0.3496 0.3496
0.3496 0.3496 0.9511
0.3496 0.9511 0.3496
0.3833 0.8722 0.8722
0.6167 0.1278 0.1278
0.6504 0.0489 0.6504
0.6504 0.6504 0.0489
0.6504 0.6504 0.6504
0.8722 0.3833 0.8722
0.8722 0.8722 0.3833
0.8722 0.8722 0.8722
0.9511 0.3496 0.3496
```

TbNd4Er15: relaxed, PBE.

Output
Symmetry   No. 123
Crystal system   tetragonal
E_form   0.0232 eV/atom

```
TbNd4Er15
1.0
5.0177 0.0000 0.0000
0.0000 5.0177 0.0000
0.0000 0.0000 24.9744
Tb Nd Er
1 4 15
direct
0.0000 0.0000 0.0000
0.0000 0.0000 0.1997
0.0000 0.0000 0.3998
0.0000 0.0000 0.6002
0.0000 0.0000 0.8003
0.0000 0.5000 0.0989
0.0000 0.5000 0.2997
0.0000 0.5000 0.5000
0.0000 0.5000 0.7003
0.0000 0.5000 0.9011
0.5000 0.0000 0.0989
0.5000 0.0000 0.2997
0.5000 0.0000 0.5000
0.5000 0.0000 0.7003
0.5000 0.0000 0.9011
0.5000 0.5000 0.0000
0.5000 0.5000 0.1993
0.5000 0.5000 0.3999
0.5000 0.5000 0.6001
0.5000 0.5000 0.8007
```

Tb6Nd2Er: relaxed, PBE.

Output
Symmetry   No. 15
Crystal system   monoclinic
E_form   0.1135 eV/atom
Energy above the lowest structure with this stoichiometry   4 meV/atom

```
Tb6Nd2Er
1.0
6.4255 -7.1871 0.0000
6.4255 7.1871 0.0000
-1.6644 0.0000 6.4022
Tb Nd Er
12 4 2
direct
0.0383 0.4414 0.7274
0.1516 0.7767 0.9951
0.2233 0.8484 0.5049
0.2776 0.4604 0.1844
0.4414 0.0383 0.2274
0.4604 0.2776 0.6844
0.5396 0.7224 0.3156
0.5586 0.9617 0.7726
0.7224 0.5396 0.8156
0.7767 0.1516 0.4951
0.8484 0.2233 0.0049
0.9617 0.5586 0.2726
0.1198 0.1695 0.3734
0.1695 0.1198 0.8734
0.8305 0.8802 0.1266
0.8802 0.8305 0.6266
0.3828 0.6172 0.7500
0.6172 0.3828 0.2500
```

Tb12Nd3Er: relaxed, PBE.

Output
Symmetry   No. 123
Crystal system   tetragonal
E_form   0.0179 eV/atom

```
Tb12Nd3Er
1.0
5.0621 0.0000 0.0000
0.0000 5.0621 0.0000
0.0000 0.0000 20.2391
Tb Nd Er
12 3 1
direct
0.0000 0.0000 0.0000
0.0000 0.0000 0.2484
0.0000 0.0000 0.5000
0.0000 0.0000 0.7516
0.0000 0.5000 0.1231
0.0000 0.5000 0.3744
0.0000 0.5000 0.6256
0.0000 0.5000 0.8769
0.5000 0.0000 0.1231
0.5000 0.0000 0.3744
0.5000 0.0000 0.6256
0.5000 0.0000 0.8769
0.5000 0.5000 0.2491
0.5000 0.5000 0.5000
0.5000 0.5000 0.7509
0.5000 0.5000 0.0000
```